1.
VASP calculation (PBE) on an optimized crystal structure of SmHo2Se5.

Cell and atoms, written as POSCAR:
```
SmHo2Se5
1.0
-3.807 3.807 6.589
3.807 -3.807 6.589
3.807 3.807 -6.589
Sm Ho Se
2 4 10
direct
0.250 0.250 0.000 Sm
0.750 0.750 0.000 Sm
0.156 0.656 0.811 Ho
0.344 0.156 0.500 Ho
0.656 0.844 0.500 Ho
0.844 0.344 0.189 Ho
0.000 0.000 0.000 Se
0.009 0.198 0.500 Se
0.198 0.698 0.189 Se
0.302 0.491 0.500 Se
0.491 0.991 0.189 Se
0.500 0.500 0.000 Se
0.509 0.009 0.811 Se
0.698 0.509 0.500 Se
0.802 0.302 0.811 Se
0.991 0.802 0.500 Se
```

Results
Theoretical density, g/cm3: 7.6
Formation energy from raw total energies, eV/atom: -1.606
Symmetry: I4/mcm, No. 140

2.
VASP calculation (PBE) on an optimized crystal structure of Ba2Ge2Au5.

Cell and atoms, written as POSCAR:
```
Ba2Ge2Au5
1.0
3.625 -3.629 0.000
3.625 3.629 0.000
0.000 0.000 9.504
Ba Ge Au
2 2 5
direct
0.000 0.000 0.000 Ba
0.000 0.000 0.500 Ba
0.500 0.500 0.227 Ge
0.500 0.500 0.773 Ge
0.000 0.500 0.239 Au
0.000 0.500 0.761 Au
0.500 0.000 0.239 Au
0.500 0.000 0.761 Au
0.500 0.500 0.500 Au
```

Results
Energy of formation, meV/atom: -465
Theoretical density, g/cm3: 9.3
Symmetry: Cmmm, No. 65

3.
VASP calculation (PBE) on an optimized crystal structure of AcGeC.

Cell and atoms, written as POSCAR:
```
AcGeC
1.0
3.614 -2.038 0.000
3.614 2.038 0.000
-3.292 0.000 9.606
Ac Ge C
2 2 2
direct
0.000 0.000 0.000 Ac
0.061 0.061 0.399 Ac
0.226 0.226 0.756 Ge
0.844 0.844 0.644 Ge
0.651 0.651 0.233 C
0.754 0.754 0.148 C
```

Results
Energy of formation, meV/atom: -190
Theoretical density, g/cm3: 7.3
Symmetry: Cm, No. 8

4.
VASP calculation (PBE) on an optimized crystal structure of CdAgAu2.

Cell and atoms, written as POSCAR:
```
CdAgAu2
1.0
1.517 0.876 9.432
-1.517 0.876 9.432
0.000 -1.751 9.432
Cd Ag Au
1 1 2
direct
0.000 0.000 0.000 Cd
0.500 0.500 0.500 Ag
0.249 0.249 0.249 Au
0.751 0.751 0.751 Au
```

Results
Energy of formation, meV/atom: -54
Theoretical density, g/cm3: 13.6
Symmetry: R-3m, No. 166

5.
VASP calculation (PBE) on an optimized crystal structure of TbAl2Pt9.

Cell and atoms, written as POSCAR:
```
TbAl2Pt9
1.0
4.010 0.000 0.000
0.000 4.010 0.000
0.000 0.000 11.886
Tb Al Pt
1 2 9
direct
0.000 0.000 0.000 Tb
0.000 0.000 0.339 Al
0.000 0.000 0.661 Al
0.000 0.500 0.181 Pt
0.000 0.500 0.500 Pt
0.000 0.500 0.819 Pt
0.500 0.000 0.181 Pt
0.500 0.000 0.500 Pt
0.500 0.000 0.819 Pt
0.500 0.500 0.000 Pt
0.500 0.500 0.341 Pt
0.500 0.500 0.659 Pt
```

Results
Energy of formation, meV/atom: -786
Theoretical density, g/cm3: 17.1
Symmetry: P4/mmm, No. 123

6.
VASP calculation (PBE) on an optimized crystal structure of SrSc4Au3O12.

Cell and atoms, written as POSCAR:
```
SrSc4Au3O12
1.0
-3.970 3.970 3.970
3.970 -3.970 3.970
3.970 3.970 -3.970
Sr Sc Au O
1 4 3 12
direct
0.000 0.000 0.000 Sr
0.000 0.000 0.500 Sc
0.000 0.500 0.000 Sc
0.500 0.000 0.000 Sc
0.500 0.500 0.500 Sc
0.000 0.500 0.500 Au
0.500 0.000 0.500 Au
0.500 0.500 0.000 Au
0.137 0.830 0.307 O
0.170 0.307 0.477 O
0.170 0.693 0.863 O
0.307 0.137 0.830 O
0.307 0.477 0.170 O
0.477 0.170 0.307 O
0.523 0.830 0.693 O
0.693 0.523 0.830 O
0.693 0.863 0.170 O
0.830 0.307 0.137 O
0.830 0.693 0.523 O
0.863 0.170 0.693 O
```

Results
Theoretical density, g/cm3: 7.0
Formation energy from raw total energies, eV/atom: -2.087
Symmetry: Im-3, No. 204